## P
## TaTc2Au (PBEsol)

Data for crystalline TaTc2Au at its relaxed geometry.

Values from the calculation:
V = 15.224 Å³ per atom
magnetic moment = 0.000 μB/f.u.

Structure (CIF):
```
data_TaTc2Au
_chemical_formula_sum 'Ta1 Tc2 Au1'
_cell_length_a 3.9550
_cell_length_b 3.9550
_cell_length_c 3.8930
_cell_angle_alpha 90.00
_cell_angle_beta 90.00
_cell_angle_gamma 90.00
_space_group_name_H-M_alt 'P 4/m m m'
_space_group_IT_number 123
_space_group_name_Hall '-P 4 2'
loop_
_atom_site_label
_atom_site_type_symbol
_atom_site_fract_x
_atom_site_fract_y
_atom_site_fract_z
Ta1 Ta 0.0000 0.0000 0.0000
Tc1 Tc 0.0000 0.5000 0.5000
Au1 Au 0.5000 0.5000 0.0000
```


## Q
## TaTc2Au (PBEsol)

Data for crystalline TaTc2Au at its relaxed geometry.

Values from the calculation:
V = 15.389 Å³ per atom
magnetic moment = 0.000 μB/f.u.

Structure (CIF):
```
data_TaTc2Au
_chemical_formula_sum 'Ta2 Tc4 Au2'
_cell_length_a 3.9892
_cell_length_b 3.9892
_cell_length_c 7.7362
_cell_angle_alpha 90.00
_cell_angle_beta 90.00
_cell_angle_gamma 90.00
_space_group_name_H-M_alt 'I 4/m m m'
_space_group_IT_number 139
_space_group_name_Hall '-I 4 2'
loop_
_atom_site_label
_atom_site_type_symbol
_atom_site_fract_x
_atom_site_fract_y
_atom_site_fract_z
Ta1 Ta 0.0000 0.0000 0.0000
Tc1 Tc 0.0000 0.5000 0.2500
Au1 Au 0.0000 0.0000 0.5000
```


## R
## TaTc2Au (PBEsol)

Data for crystalline TaTc2Au at its relaxed geometry.

Values from the calculation:
V = 15.554 Å³ per atom
magnetic moment = 0.000 μB/f.u.

Structure (CIF):
```
data_TaTc2Au
_chemical_formula_sum 'Ta2 Tc4 Au2'
_cell_length_a 9.0220
_cell_length_b 2.9420
_cell_length_c 4.7983
_cell_angle_alpha 90.00
_cell_angle_beta 102.30
_cell_angle_gamma 90.00
_space_group_name_H-M_alt 'C 1 2/m 1'
_space_group_IT_number 12
_space_group_name_Hall '-C 2y'
loop_
_atom_site_label
_atom_site_type_symbol
_atom_site_fract_x
_atom_site_fract_y
_atom_site_fract_z
Ta1 Ta 0.0000 0.0000 0.0000
Tc1 Tc 0.2462 0.5000 0.2467
Au1 Au 0.0000 0.5000 0.5000
```


The data favor P; the next most stable structure lies 186 meV/atom above it.


## P
## TaTe2Au (PBEsol)

Data for crystalline TaTe2Au at its relaxed geometry.

Values from the calculation:
V = 20.643 Å³ per atom
magnetic moment = 0.000 μB/f.u.

Structure (CIF):
```
data_TaTe2Au
_chemical_formula_sum 'Ta1 Te2 Au1'
_cell_length_a 3.5039
_cell_length_b 3.5039
_cell_length_c 6.7255
_cell_angle_alpha 90.00
_cell_angle_beta 90.00
_cell_angle_gamma 90.00
_space_group_name_H-M_alt 'P 4/m m m'
_space_group_IT_number 123
_space_group_name_Hall '-P 4 2'
loop_
_atom_site_label
_atom_site_type_symbol
_atom_site_fract_x
_atom_site_fract_y
_atom_site_fract_z
Ta1 Ta 0.0000 0.0000 0.0000
Te1 Te 0.5000 0.5000 0.2340
Au1 Au 0.0000 0.0000 0.5000
```


## Q
## TaTe2Au (PBEsol)

Data for crystalline TaTe2Au at its relaxed geometry.

Values from the calculation:
V = 21.006 Å³ per atom
magnetic moment = 0.000 μB/f.u.

Structure (CIF):
```
data_TaTe2Au
_chemical_formula_sum 'Ta1 Te2 Au1'
_cell_length_a 3.4062
_cell_length_b 4.6826
_cell_length_c 5.2682
_cell_angle_alpha 90.00
_cell_angle_beta 90.00
_cell_angle_gamma 90.00
_space_group_name_H-M_alt 'P m m m'
_space_group_IT_number 47
_space_group_name_Hall '-P 2 2'
loop_
_atom_site_label
_atom_site_type_symbol
_atom_site_fract_x
_atom_site_fract_y
_atom_site_fract_z
Ta1 Ta 0.0000 0.0000 0.0000
Te1 Te 0.0000 0.5000 0.5000
Te2 Te 0.5000 0.5000 0.0000
Au1 Au 0.5000 0.0000 0.5000
```


## R
## TaTe2Au (PBEsol)

Data for crystalline TaTe2Au at its relaxed geometry.

Values from the calculation:
V = 21.037 Å³ per atom
magnetic moment = 0.002 μB/f.u.

Structure (CIF):
```
data_TaTe2Au
_chemical_formula_sum 'Ta2 Te4 Au2'
_cell_length_a 4.1212
_cell_length_b 4.1212
_cell_length_c 9.9089
_cell_angle_alpha 90.00
_cell_angle_beta 90.00
_cell_angle_gamma 90.00
_space_group_name_H-M_alt 'I -4 m 2'
_space_group_IT_number 119
_space_group_name_Hall 'I -4 -2'
loop_
_atom_site_label
_atom_site_type_symbol
_atom_site_fract_x
_atom_site_fract_y
_atom_site_fract_z
Ta1 Ta 0.0000 0.0000 0.0000
Te1 Te 0.0000 0.0000 0.5000
Te2 Te 0.0000 0.5000 0.2500
Au1 Au 0.0000 0.5000 0.7500
```


The data favor P; the next most stable structure lies 432 meV/atom above it.


## P
## TaTl2Au (PBEsol)

Data for crystalline TaTl2Au at its relaxed geometry.

Values from the calculation:
V = 20.854 Å³ per atom
magnetic moment = 0.002 μB/f.u.

Structure (CIF):
```
data_TaTl2Au
_chemical_formula_sum 'Ta1 Tl2 Au1'
_cell_length_a 3.0112
_cell_length_b 5.2179
_cell_length_c 5.3089
_cell_angle_alpha 90.00
_cell_angle_beta 90.00
_cell_angle_gamma 90.00
_space_group_name_H-M_alt 'P m m m'
_space_group_IT_number 47
_space_group_name_Hall '-P 2 2'
loop_
_atom_site_label
_atom_site_type_symbol
_atom_site_fract_x
_atom_site_fract_y
_atom_site_fract_z
Ta1 Ta 0.0000 0.0000 0.0000
Tl1 Tl 0.0000 0.5000 0.5000
Tl2 Tl 0.5000 0.5000 0.0000
Au1 Au 0.5000 0.0000 0.5000
```


## Q
## TaTl2Au (PBEsol)

Data for crystalline TaTl2Au at its relaxed geometry.

Values from the calculation:
V = 20.123 Å³ per atom
magnetic moment = 0.000 μB/f.u.

Structure (CIF):
```
data_TaTl2Au
_chemical_formula_sum 'Ta1 Tl2 Au1'
_cell_length_a 3.0731
_cell_length_b 4.0460
_cell_length_c 6.4736
_cell_angle_alpha 90.00
_cell_angle_beta 90.00
_cell_angle_gamma 90.00
_space_group_name_H-M_alt 'P m m m'
_space_group_IT_number 47
_space_group_name_Hall '-P 2 2'
loop_
_atom_site_label
_atom_site_type_symbol
_atom_site_fract_x
_atom_site_fract_y
_atom_site_fract_z
Ta1 Ta 0.0000 0.0000 0.0000
Tl1 Tl 0.5000 0.5000 0.2479
Au1 Au 0.0000 0.0000 0.5000
```


## R
## TaTl2Au (PBEsol)

Data for crystalline TaTl2Au at its relaxed geometry.

Values from the calculation:
V = 20.471 Å³ per atom
magnetic moment = 0.001 μB/f.u.

Structure (CIF):
```
data_TaTl2Au
_chemical_formula_sum 'Ta2 Tl4 Au2'
_cell_length_a 4.1337
_cell_length_b 4.1337
_cell_length_c 9.5838
_cell_angle_alpha 90.00
_cell_angle_beta 90.00
_cell_angle_gamma 90.00
_space_group_name_H-M_alt 'I 4/m m m'
_space_group_IT_number 139
_space_group_name_Hall '-I 4 2'
loop_
_atom_site_label
_atom_site_type_symbol
_atom_site_fract_x
_atom_site_fract_y
_atom_site_fract_z
Ta1 Ta 0.0000 0.0000 0.0000
Tl1 Tl 0.0000 0.5000 0.2500
Au1 Au 0.0000 0.0000 0.5000
```


The data favor P; the next most stable structure lies 47 meV/atom above it.


## P
## TaZn2Au (PBEsol)

Data for crystalline TaZn2Au at its relaxed geometry.

Values from the calculation:
V = 15.392 Å³ per atom
magnetic moment = 0.000 μB/f.u.

Structure (CIF):
```
data_TaZn2Au
_chemical_formula_sum 'Ta1 Zn2 Au1'
_cell_length_a 2.8564
_cell_length_b 2.8564
_cell_length_c 7.5459
_cell_angle_alpha 90.00
_cell_angle_beta 90.00
_cell_angle_gamma 90.00
_space_group_name_H-M_alt 'P 4/m m m'
_space_group_IT_number 123
_space_group_name_Hall '-P 4 2'
loop_
_atom_site_label
_atom_site_type_symbol
_atom_site_fract_x
_atom_site_fract_y
_atom_site_fract_z
Ta1 Ta 0.0000 0.0000 0.0000
Zn1 Zn 0.5000 0.5000 0.2564
Au1 Au 0.0000 0.0000 0.5000
```


## Q
## TaZn2Au (PBEsol)

Data for crystalline TaZn2Au at its relaxed geometry.

Values from the calculation:
V = 15.563 Å³ per atom
magnetic moment = 0.000 μB/f.u.

Structure (CIF):
```
data_TaZn2Au
_chemical_formula_sum 'Ta2 Zn4 Au2'
_cell_length_a 2.7572
_cell_length_b 4.7483
_cell_length_c 9.5098
_cell_angle_alpha 90.00
_cell_angle_beta 90.00
_cell_angle_gamma 90.00
_space_group_name_H-M_alt 'I m m 2'
_space_group_IT_number 44
_space_group_name_Hall 'I 2 -2'
loop_
_atom_site_label
_atom_site_type_symbol
_atom_site_fract_x
_atom_site_fract_y
_atom_site_fract_z
Ta1 Ta 0.0000 0.0000 0.0000
Zn1 Zn 0.0000 0.0000 0.5074
Zn2 Zn 0.0000 0.5000 0.2416
Au1 Au 0.0000 0.5000 0.7636
```


The data favor P; the next most stable structure lies 180 meV/atom above it.


## P
## TcTe2Au (PBEsol)

Data for crystalline TcTe2Au at its relaxed geometry.

Values from the calculation:
V = 24.527 Å³ per atom
magnetic moment = 0.000 μB/f.u.

Structure (CIF):
```
data_TcTe2Au
_chemical_formula_sum 'Tc2 Te4 Au2'
_cell_length_a 7.4638
_cell_length_b 3.2540
_cell_length_c 8.4577
_cell_angle_alpha 90.00
_cell_angle_beta 107.21
_cell_angle_gamma 90.00
_space_group_name_H-M_alt 'C 1 2/m 1'
_space_group_IT_number 12
_space_group_name_Hall '-C 2y'
loop_
_atom_site_label
_atom_site_type_symbol
_atom_site_fract_x
_atom_site_fract_y
_atom_site_fract_z
Tc1 Tc 0.0000 0.0000 0.0000
Te1 Te 0.1436 0.5000 0.8191
Au1 Au 0.0000 0.5000 0.5000
```


## Q
## TcTe2Au (PBEsol)

Data for crystalline TcTe2Au at its relaxed geometry.

Values from the calculation:
V = 19.586 Å³ per atom
magnetic moment = 0.002 μB/f.u.

Structure (CIF):
```
data_TcTe2Au
_chemical_formula_sum 'Tc2 Te4 Au2'
_cell_length_a 6.3088
_cell_length_b 7.3091
_cell_length_c 3.3979
_cell_angle_alpha 90.00
_cell_angle_beta 90.00
_cell_angle_gamma 90.00
_space_group_name_H-M_alt 'C m m m'
_space_group_IT_number 65
_space_group_name_Hall '-C 2 2'
loop_
_atom_site_label
_atom_site_type_symbol
_atom_site_fract_x
_atom_site_fract_y
_atom_site_fract_z
Tc1 Tc 0.0000 0.0000 0.0000
Te1 Te 0.2500 0.2500 0.5000
Au1 Au 0.0000 0.5000 0.0000
```


## R
## TcTe2Au (PBEsol)

Data for crystalline TcTe2Au at its relaxed geometry.

Values from the calculation:
V = 20.941 Å³ per atom
magnetic moment = 0.001 μB/f.u.

Structure (CIF):
```
data_TcTe2Au
_chemical_formula_sum 'Tc2 Te4 Au2'
_cell_length_a 3.2087
_cell_length_b 5.1353
_cell_length_c 10.1669
_cell_angle_alpha 90.00
_cell_angle_beta 90.00
_cell_angle_gamma 90.00
_space_group_name_H-M_alt 'C m m m'
_space_group_IT_number 65
_space_group_name_Hall '-C 2 2'
loop_
_atom_site_label
_atom_site_type_symbol
_atom_site_fract_x
_atom_site_fract_y
_atom_site_fract_z
Tc1 Tc 0.0000 0.0000 0.0000
Te1 Te 0.0000 0.5000 0.2136
Au1 Au 0.0000 0.0000 0.5000
```


## S
## TcTe2Au (PBEsol)

Data for crystalline TcTe2Au at its relaxed geometry.

Values from the calculation:
V = 23.759 Å³ per atom
magnetic moment = 0.000 μB/f.u.

Structure (CIF):
```
data_TcTe2Au
_chemical_formula_sum 'Tc2 Te4 Au2'
_cell_length_a 9.8114
_cell_length_b 3.2058
_cell_length_c 6.2813
_cell_angle_alpha 90.00
_cell_angle_beta 105.83
_cell_angle_gamma 90.00
_space_group_name_H-M_alt 'C 1 m 1'
_space_group_IT_number 8
_space_group_name_Hall 'C -2y'
loop_
_atom_site_label
_atom_site_type_symbol
_atom_site_fract_x
_atom_site_fract_y
_atom_site_fract_z
Tc1 Tc 0.0000 0.0000 0.0000
Te1 Te 0.1457 0.5000 0.3148
Te2 Te 0.4490 0.0000 0.6599
Au1 Au 0.2855 0.0000 0.0405
```


The data favor P; the next most stable structure lies 125 meV/atom above it.


## P
## Tc2WAu (PBEsol)

Data for crystalline Tc2WAu at its relaxed geometry.

Values from the calculation:
V = 15.153 Å³ per atom
magnetic moment = 0.000 μB/f.u.

Structure (CIF):
```
data_Tc2WAu
_chemical_formula_sum 'Tc2 W1 Au1'
_cell_length_a 2.7376
_cell_length_b 2.7376
_cell_length_c 8.0873
_cell_angle_alpha 90.00
_cell_angle_beta 90.00
_cell_angle_gamma 90.00
_space_group_name_H-M_alt 'P 4/m m m'
_space_group_IT_number 123
_space_group_name_Hall '-P 4 2'
loop_
_atom_site_label
_atom_site_type_symbol
_atom_site_fract_x
_atom_site_fract_y
_atom_site_fract_z
Tc1 Tc 0.0000 0.0000 0.2375
W1 W 0.5000 0.5000 0.0000
Au1 Au 0.5000 0.5000 0.5000
```


## Q
## Tc2WAu (PBEsol)

Data for crystalline Tc2WAu at its relaxed geometry.

Values from the calculation:
V = 14.918 Å³ per atom
magnetic moment = 0.000 μB/f.u.

Structure (CIF):
```
data_Tc2WAu
_chemical_formula_sum 'Tc4 W2 Au2'
_cell_length_a 3.9565
_cell_length_b 3.9565
_cell_length_c 7.6241
_cell_angle_alpha 90.00
_cell_angle_beta 90.00
_cell_angle_gamma 90.00
_space_group_name_H-M_alt 'I 4/m m m'
_space_group_IT_number 139
_space_group_name_Hall '-I 4 2'
loop_
_atom_site_label
_atom_site_type_symbol
_atom_site_fract_x
_atom_site_fract_y
_atom_site_fract_z
Tc1 Tc 0.0000 0.5000 0.2500
W1 W 0.0000 0.0000 0.0000
Au1 Au 0.0000 0.0000 0.5000
```


## R
## Tc2WAu (PBEsol)

Data for crystalline Tc2WAu at its relaxed geometry.

Values from the calculation:
V = 15.150 Å³ per atom
magnetic moment = 0.000 μB/f.u.

Structure (CIF):
```
data_Tc2WAu
_chemical_formula_sum 'Tc6 W3 Au3'
_cell_length_a 2.7571
_cell_length_b 2.7571
_cell_length_c 27.6163
_cell_angle_alpha 90.00
_cell_angle_beta 90.00
_cell_angle_gamma 120.00
_space_group_name_H-M_alt 'R 3 m'
_space_group_IT_number 160
_space_group_name_Hall 'R 3 -2"'
loop_
_atom_site_label
_atom_site_type_symbol
_atom_site_fract_x
_atom_site_fract_y
_atom_site_fract_z
Tc1 Tc 0.0000 0.0000 0.0000
Tc2 Tc 0.0000 0.0000 0.2589
W1 W 0.0000 0.0000 0.7504
Au1 Au 0.0000 0.0000 0.5046
```


The data favor R; the next most stable structure lies 27 meV/atom above it.


## P
## Tc2WAu (PBEsol)

Data for crystalline Tc2WAu at its relaxed geometry.

Values from the calculation:
V = 14.818 Å³ per atom
magnetic moment = 0.000 μB/f.u.

Structure (CIF):
```
data_Tc2WAu
_chemical_formula_sum 'Tc2 W1 Au1'
_cell_length_a 3.9476
_cell_length_b 3.9476
_cell_length_c 3.8034
_cell_angle_alpha 90.00
_cell_angle_beta 90.00
_cell_angle_gamma 90.00
_space_group_name_H-M_alt 'P 4/m m m'
_space_group_IT_number 123
_space_group_name_Hall '-P 4 2'
loop_
_atom_site_label
_atom_site_type_symbol
_atom_site_fract_x
_atom_site_fract_y
_atom_site_fract_z
Tc1 Tc 0.0000 0.5000 0.0000
W1 W 0.0000 0.0000 0.5000
Au1 Au 0.5000 0.5000 0.5000
```


## Q
## Tc2WAu (PBEsol)

Data for crystalline Tc2WAu at its relaxed geometry.

Values from the calculation:
V = 15.086 Å³ per atom
magnetic moment = 0.000 μB/f.u.

Structure (CIF):
```
data_Tc2WAu
_chemical_formula_sum 'Tc2 W1 Au1'
_cell_length_a 2.7427
_cell_length_b 2.7427
_cell_length_c 8.0220
_cell_angle_alpha 90.00
_cell_angle_beta 90.00
_cell_angle_gamma 90.00
_space_group_name_H-M_alt 'P 4 m m'
_space_group_IT_number 99
_space_group_name_Hall 'P 4 -2'
loop_
_atom_site_label
_atom_site_type_symbol
_atom_site_fract_x
_atom_site_fract_y
_atom_site_fract_z
Tc1 Tc 0.0000 0.0000 0.0000
Tc2 Tc 0.5000 0.5000 0.2165
W1 W 0.0000 0.0000 0.4652
Au1 Au 0.5000 0.5000 0.7307
```


The data favor P; the next most stable structure lies 56 meV/atom above it.


## P
## YTcAu (PBEsol)

Data for crystalline YTcAu at its relaxed geometry.

Values from the calculation:
V = 19.969 Å³ per atom
magnetic moment = 0.001 μB/f.u.

Structure (CIF):
```
data_YTcAu
_chemical_formula_sum 'Y1 Tc1 Au1'
_cell_length_a 4.4346
_cell_length_b 4.4346
_cell_length_c 3.5175
_cell_angle_alpha 90.00
_cell_angle_beta 90.00
_cell_angle_gamma 120.00
_space_group_name_H-M_alt 'P -6 m 2'
_space_group_IT_number 187
_space_group_name_Hall 'P -6 2'
loop_
_atom_site_label
_atom_site_type_symbol
_atom_site_fract_x
_atom_site_fract_y
_atom_site_fract_z
Y1 Y 0.0000 0.0000 0.0000
Tc1 Tc 0.3333 0.6667 0.5000
Au1 Au 0.6667 0.3333 0.5000
```


## Q
## YTcAu (PBEsol)

Data for crystalline YTcAu at its relaxed geometry.

Values from the calculation:
V = 21.826 Å³ per atom
magnetic moment = 2.181 μB/f.u.

Structure (CIF):
```
data_YTcAu
_chemical_formula_sum 'Y4 Tc4 Au4'
_cell_length_a 6.3981
_cell_length_b 6.3981
_cell_length_c 6.3981
_cell_angle_alpha 90.00
_cell_angle_beta 90.00
_cell_angle_gamma 90.00
_space_group_name_H-M_alt 'F -4 3 m'
_space_group_IT_number 216
_space_group_name_Hall 'F -4 2 3'
loop_
_atom_site_label
_atom_site_type_symbol
_atom_site_fract_x
_atom_site_fract_y
_atom_site_fract_z
Y1 Y 0.0000 0.0000 0.0000
Tc1 Tc 0.2500 0.2500 0.2500
Au1 Au 0.0000 0.0000 0.5000
```


The data favor P; the next most stable structure lies 472 meV/atom above it.